Below is a relaxed structure of SrCaAc2, with properties calculated at the PBE-GGA level.

a b c (Å): 13.408 13.408 13.408
angles (deg): 17.11 17.11 17.11
Positions (direct):
1 Sr 0.000 0.000 0.000
2 Ca 0.834 0.834 0.834
3 Ac 0.420 0.420 0.420
4 Ac 0.581 0.581 0.581

## Properties
ΔE_f = 0.058 eV per atom
space-group type = R3m, No. 160
magnetic moment = 0.00 μB per cell
total energy = -11.7 eV for the cell shown